# 1
! Nd2AgHg3 PBE relaxed; values from VASP
! N(E_F)	7.280	states/eV per cell
! E_form	-0.4096	eV/atom
! total magnetic moment	0.000	μB/cell
! DFT total energy	-2.625	eV per atom
&SYSTEM
  ibrav = 0, nat = 12, ntyp = 3
/
ATOMIC_SPECIES
Nd 144.24 Nd.upf
Ag 107.87 Ag.upf
Hg 200.59 Hg.upf
CELL_PARAMETERS angstrom
0.000 5.009 8.646
3.485 0.000 8.646
3.485 5.009 0.000
ATOMIC_POSITIONS crystal
Nd 0.249 0.751 0.751
Nd 0.250 0.250 0.250
Nd 0.750 0.750 0.750
Nd 0.751 0.249 0.249
Ag 0.167 0.167 0.833
Ag 0.833 0.833 0.167
Hg 0.161 0.670 0.330
Hg 0.330 0.839 0.161
Hg 0.331 0.331 0.669
Hg 0.669 0.669 0.331
Hg 0.670 0.161 0.839
Hg 0.839 0.330 0.670



# 2
! NdAg3Hg2 PBE relaxed; values from VASP
! N(E_F)	5.623	states/eV per cell
! E_form	-0.1672	eV/atom
! total magnetic moment	0.000	μB/cell
! DFT total energy	-2.488	eV per atom
&SYSTEM
  ibrav = 0, nat = 12, ntyp = 3
/
ATOMIC_SPECIES
Nd 144.24 Nd.upf
Ag 107.87 Ag.upf
Hg 200.59 Hg.upf
CELL_PARAMETERS angstrom
7.693 -2.156 0.000
7.693 2.156 0.000
-5.064 0.000 8.081
ATOMIC_POSITIONS crystal
Nd 0.114 0.114 0.474
Nd 0.886 0.886 0.526
Ag 0.071 0.071 0.934
Ag 0.253 0.253 0.904
Ag 0.420 0.420 0.825
Ag 0.580 0.580 0.175
Ag 0.747 0.747 0.096
Ag 0.929 0.929 0.066
Hg 0.228 0.228 0.288
Hg 0.426 0.426 0.280
Hg 0.574 0.574 0.720
Hg 0.772 0.772 0.712



# 3
! NdAgHg6 PBE relaxed; values from VASP
! N(E_F)	4.052	states/eV per cell
! E_form	-0.1348	eV/atom
! energy relative to the lowest polymorph listed for this composition	0.0	meV per atom
! total magnetic moment	0.000	μB/cell
! DFT total energy	-1.314	eV per atom
&SYSTEM
  ibrav = 0, nat = 8, ntyp = 3
/
ATOMIC_SPECIES
Nd 144.24 Nd.upf
Ag 107.87 Ag.upf
Hg 200.59 Hg.upf
CELL_PARAMETERS angstrom
5.019 0.000 0.000
0.000 3.590 5.552
0.000 -3.590 5.552
ATOMIC_POSITIONS crystal
Nd 0.000 0.000 0.000
Ag 0.500 0.221 0.221
Hg 0.000 0.020 0.490
Hg 0.000 0.490 0.020
Hg 0.000 0.497 0.497
Hg 0.500 0.309 0.745
Hg 0.500 0.745 0.309
Hg 0.500 0.799 0.799



# 4
! Nd6AgHg2 PBE relaxed; values from VASP
! N(E_F)	15.712	states/eV per cell
! E_form	-0.0351	eV/atom
! total magnetic moment	2.778	μB/cell
! DFT total energy	-3.598	eV per atom
&SYSTEM
  ibrav = 0, nat = 9, ntyp = 3
/
ATOMIC_SPECIES
Nd 144.24 Nd.upf
Ag 107.87 Ag.upf
Hg 200.59 Hg.upf
CELL_PARAMETERS angstrom
8.259 -3.729 0.000
8.259 3.729 0.000
-1.636 0.000 4.950
ATOMIC_POSITIONS crystal
Nd 0.083 0.587 0.335
Nd 0.247 0.753 0.000
Nd 0.413 0.917 0.665
Nd 0.587 0.083 0.335
Nd 0.753 0.247 0.000
Nd 0.917 0.413 0.665
Ag 0.000 0.000 0.500
Hg 0.334 0.334 0.834
Hg 0.666 0.666 0.166



# 5
! Nd3AgHg PBE relaxed; values from VASP
! N(E_F)	10.321	states/eV per cell
! E_form	-0.2837	eV/atom
! energy relative to the lowest polymorph listed for this composition	0.0	meV per atom
! total magnetic moment	0.839	μB/cell
! DFT total energy	-3.775	eV per atom
&SYSTEM
  ibrav = 0, nat = 10, ntyp = 3
/
ATOMIC_SPECIES
Nd 144.24 Nd.upf
Ag 107.87 Ag.upf
Hg 200.59 Hg.upf
CELL_PARAMETERS angstrom
2.678 -10.124 0.000
2.678 10.124 0.000
0.000 0.000 5.359
ATOMIC_POSITIONS crystal
Nd 0.063 0.937 0.750
Nd 0.250 0.750 0.750
Nd 0.437 0.563 0.750
Nd 0.563 0.437 0.250
Nd 0.750 0.250 0.250
Nd 0.937 0.063 0.250
Ag 0.155 0.845 0.250
Ag 0.845 0.155 0.750
Hg 0.346 0.654 0.250
Hg 0.654 0.346 0.750



# 6
! Nd3Ag3Hg2 PBE relaxed; values from VASP
! N(E_F)	12.328	states/eV per cell
! E_form	-0.3017	eV/atom
! energy relative to the lowest polymorph listed for this composition	0.0	meV per atom
! total magnetic moment	0.000	μB/cell
! DFT total energy	-3.234	eV per atom
&SYSTEM
  ibrav = 0, nat = 16, ntyp = 3
/
ATOMIC_SPECIES
Nd 144.24 Nd.upf
Ag 107.87 Ag.upf
Hg 200.59 Hg.upf
CELL_PARAMETERS angstrom
2.416 -5.593 0.000
2.416 5.593 0.000
0.000 0.000 15.236
ATOMIC_POSITIONS crystal
Nd 0.084 0.916 0.604
Nd 0.084 0.916 0.896
Nd 0.351 0.649 0.750
Nd 0.649 0.351 0.250
Nd 0.916 0.084 0.104
Nd 0.916 0.084 0.396
Ag 0.373 0.627 0.250
Ag 0.392 0.608 0.544
Ag 0.392 0.608 0.956
Ag 0.608 0.392 0.044
Ag 0.608 0.392 0.456
Ag 0.627 0.373 0.750
Hg 0.209 0.791 0.105
Hg 0.209 0.791 0.395
Hg 0.791 0.209 0.605
Hg 0.791 0.209 0.895



# 7
! Nd4AgHg7 PBE relaxed; values from VASP
! N(E_F)	8.059	states/eV per cell
! E_form	-0.2954	eV/atom
! total magnetic moment	0.000	μB/cell
! DFT total energy	-2.298	eV per atom
&SYSTEM
  ibrav = 0, nat = 12, ntyp = 3
/
ATOMIC_SPECIES
Nd 144.24 Nd.upf
Ag 107.87 Ag.upf
Hg 200.59 Hg.upf
CELL_PARAMETERS angstrom
7.795 -2.699 0.000
7.795 2.699 0.000
-5.216 0.000 7.829
ATOMIC_POSITIONS crystal
Nd 0.068 0.068 0.247
Nd 0.238 0.238 0.758
Nd 0.762 0.762 0.242
Nd 0.932 0.932 0.753
Ag 0.500 0.500 0.500
Hg 0.000 0.000 0.500
Hg 0.182 0.182 0.041
Hg 0.313 0.313 0.495
Hg 0.438 0.438 0.137
Hg 0.562 0.562 0.863
Hg 0.687 0.687 0.505
Hg 0.818 0.818 0.959



# 8
! Nd8Ag2Hg PBE relaxed; values from VASP
! N(E_F)	11.399	states/eV per cell
! E_form	-0.1400	eV/atom
! energy relative to the lowest polymorph listed for this composition	9.2	meV per atom
! total magnetic moment	0.000	μB/cell
! DFT total energy	-4.153	eV per atom
&SYSTEM
  ibrav = 0, nat = 11, ntyp = 3
/
ATOMIC_SPECIES
Nd 144.24 Nd.upf
Ag 107.87 Ag.upf
Hg 200.59 Hg.upf
CELL_PARAMETERS angstrom
9.268 -2.660 0.000
9.268 2.660 0.000
-2.212 0.000 6.970
ATOMIC_POSITIONS crystal
Nd 0.027 0.027 0.267
Nd 0.196 0.196 0.818
Nd 0.330 0.330 0.523
Nd 0.409 0.409 0.037
Nd 0.591 0.591 0.963
Nd 0.670 0.670 0.477
Nd 0.804 0.804 0.182
Nd 0.973 0.973 0.733
Ag 0.183 0.183 0.217
Ag 0.817 0.817 0.783
Hg 0.500 0.500 0.500



# 9
! Nd3Ag2Hg2 PBE relaxed; values from VASP
! N(E_F)	6.723	states/eV per cell
! E_form	-0.2723	eV/atom
! total magnetic moment	0.000	μB/cell
! DFT total energy	-3.217	eV per atom
&SYSTEM
  ibrav = 0, nat = 7, ntyp = 3
/
ATOMIC_SPECIES
Nd 144.24 Nd.upf
Ag 107.87 Ag.upf
Hg 200.59 Hg.upf
CELL_PARAMETERS angstrom
4.490 -2.581 0.000
4.490 2.581 0.000
-2.944 0.000 8.001
ATOMIC_POSITIONS crystal
Nd 0.000 0.000 0.000
Nd 0.429 0.429 0.289
Nd 0.571 0.571 0.711
Ag 0.296 0.296 0.890
Ag 0.704 0.704 0.110
Hg 0.146 0.146 0.437
Hg 0.854 0.854 0.563



# 10
! Nd2AgHg PBE relaxed; values from VASP
! N(E_F)	4.430	states/eV per cell
! E_form	-0.3646	eV/atom
! energy relative to the lowest polymorph listed for this composition	2.5	meV per atom
! total magnetic moment	0.390	μB/cell
! DFT total energy	-3.537	eV per atom
&SYSTEM
  ibrav = 0, nat = 4, ntyp = 3
/
ATOMIC_SPECIES
Nd 144.24 Nd.upf
Ag 107.87 Ag.upf
Hg 200.59 Hg.upf
CELL_PARAMETERS angstrom
5.361 0.000 0.000
0.000 5.361 0.000
0.000 0.000 3.810
ATOMIC_POSITIONS crystal
Nd 0.000 0.500 0.000
Nd 0.500 0.000 0.000
Ag 0.000 0.000 0.500
Hg 0.500 0.500 0.500



# 11
! Nd8Ag2Hg PBE relaxed; values from VASP
! N(E_F)	12.082	states/eV per cell
! E_form	-0.1493	eV/atom
! energy relative to the lowest polymorph listed for this composition	0.0	meV per atom
! total magnetic moment	0.000	μB/cell
! DFT total energy	-4.163	eV per atom
&SYSTEM
  ibrav = 0, nat = 11, ntyp = 3
/
ATOMIC_SPECIES
Nd 144.24 Nd.upf
Ag 107.87 Ag.upf
Hg 200.59 Hg.upf
CELL_PARAMETERS angstrom
8.257 -2.745 0.000
8.257 2.745 0.000
-4.437 0.000 7.446
ATOMIC_POSITIONS crystal
Nd 0.071 0.071 0.222
Nd 0.140 0.140 0.696
Nd 0.318 0.318 0.542
Nd 0.404 0.404 0.047
Nd 0.596 0.596 0.953
Nd 0.682 0.682 0.458
Nd 0.860 0.860 0.304
Nd 0.929 0.929 0.778
Ag 0.226 0.226 0.117
Ag 0.774 0.774 0.883
Hg 0.500 0.500 0.500



# 12
! Nd2Ag3Hg PBE relaxed; values from VASP
! N(E_F)	3.057	states/eV per cell
! E_form	-0.2241	eV/atom
! energy relative to the lowest polymorph listed for this composition	89.9	meV per atom
! total magnetic moment	0.000	μB/cell
! DFT total energy	-3.289	eV per atom
&SYSTEM
  ibrav = 0, nat = 6, ntyp = 3
/
ATOMIC_SPECIES
Nd 144.24 Nd.upf
Ag 107.87 Ag.upf
Hg 200.59 Hg.upf
CELL_PARAMETERS angstrom
-2.036 2.081 9.189
2.036 -2.081 9.189
2.036 2.081 -9.189
ATOMIC_POSITIONS crystal
Nd 0.000 0.000 0.000
Nd 0.736 0.236 0.500
Ag 0.164 0.664 0.500
Ag 0.313 0.813 0.500
Ag 0.571 0.571 0.000
Hg 0.415 0.415 0.000



> Look up the DFT total energy of the tenth one.

-3.537 eV per atom



> Among the records above, which one has the lowest N(E_F)?

Nd2Ag3Hg



> Among the records above, which one has the highest total magnetic moment?

Nd6AgHg2